The following is a DFT calculation (PBE-GGA) of crystalline K2NdTc2N4 at its relaxed geometry.

Cell and atoms, written as POSCAR:
```
K2NdTc2N4
1.0
-3.502 -0.054 0.509
2.735 -2.834 6.203
-0.657 8.646 -3.597
K Tc N Nd
2 2 4 1
direct
0.848 0.695 0.444
0.152 0.305 0.556
0.348 0.696 0.070
0.652 0.304 0.930
0.470 0.939 0.781
0.787 0.574 0.907
0.530 0.061 0.219
0.213 0.426 0.093
0.000 0.000 0.000
```

Results
- uncorrected formation energy (kJ/mol of atoms) = -35
- symmetry = No. 12

---

The following is a DFT calculation (PBE-GGA) of crystalline Th8RuPt3Se4 at its relaxed geometry.

Cell and atoms, written as POSCAR:
```
Th8RuPt3Se4
1.0
-7.157 -4.187 -0.327
2.362 -3.438 -7.674
5.083 -0.972 6.488
Th Se Pt Ru
8 4 3 1
direct
0.237 0.725 0.988
0.763 0.275 0.525
0.257 0.272 0.514
0.237 0.725 0.475
0.743 0.728 0.486
0.763 0.275 0.012
0.750 0.725 0.988
0.250 0.275 0.012
0.000 0.000 0.000
0.500 0.000 0.000
0.000 0.000 0.500
0.500 0.000 0.500
0.500 0.500 0.000
0.000 0.500 0.500
0.500 0.500 0.500
0.000 0.500 0.000
```

Results
- uncorrected formation energy (kJ/mol of atoms) = -124
- symmetry = No. 166

---

The following is a DFT calculation (PBE-GGA) of crystalline CaY2Ni2 at its relaxed geometry.

Cell and atoms, written as POSCAR:
```
CaY2Ni2
1.0
-4.640 6.408 2.291
-3.690 -4.699 5.669
2.252 0.853 2.173
Ni Y Ca
4 4 2
direct
0.346 0.154 0.500
0.654 0.846 0.500
0.154 0.654 0.500
0.846 0.346 0.500
0.861 0.639 0.000
0.361 0.861 0.000
0.139 0.361 0.000
0.639 0.139 0.000
0.500 0.500 0.000
0.000 0.000 0.000
```

Results
- polymorph energy (0 for the lowest one) (eV/f.u.) = 0.76
- symmetry = No. 127
- energy of formation from the pure elements (eV per atom) = -0.0937

---

The following is a DFT calculation (PBE-GGA) of crystalline K3Pt at its relaxed geometry.

Cell and atoms, written as POSCAR:
```
K3Pt
1.0
-6.240 5.087 -4.434
-8.035 4.373 -0.891
17.676 -6.042 7.738
K Pt
3 1
direct
0.793 0.793 0.397
0.000 0.000 0.750
0.207 0.207 0.103
0.000 0.000 0.250
```

Results
- symmetry = No. 71
- energy of formation from the pure elements (eV per atom) = 0.0555